[1]
Ho3In3Rh2 after structural relaxation, computed with PBE.

Cell lengths 16.1212, 4.6792, 5.0942 Å; angles 90.00, 101.64, 90.00 degrees
Closest atoms and distances in Å follow each position.
Space group C2/m (No. 12)
Symmetry-distinct sites (fractional):
Ho  0.0000  0.0000  0.0000 [2 per cell]  8 In 3.14-3.46, 2 Rh 3.43
Ho  0.1679  0.0000  0.5964 [4 per cell]  2 Rh 2.66-2.67
In  0.0000  0.5000  0.5000 [2 per cell]  4 In 3.28-3.32, 8 Ho 3.46-3.54
In  0.1328  0.5000  0.0807 [4 per cell]  3 Rh 2.69-2.83
Rh  0.2170  0.0000  0.1284 [4 per cell]  2 Ho 2.66-2.67, 3 In 2.69-2.83, 2 Rh 2.98

Values from the calculation:
Size of the total moment = 0.00 μB/atom
E = -83.25 eV for the cell shown
Fermi-level density of states = 8.4 states/eV/cell

[2]
ScC2 after structural relaxation, computed with PBE.

Cell lengths 2.7150, 2.7150, 8.5588 Å; angles 90.00, 90.00, 120.00 degrees
Closest atoms and distances in Å follow each position.
Space group P6_3/mmc (No. 194)
Symmetry-distinct sites (fractional):
Sc  0.3333  0.6667  0.2500 [2 per cell]  8 C 2.35-2.49
C  0.3333  0.6667  0.5246 [4 per cell]  3 C 1.62

Values from the calculation:
Size of the total moment = 0.04 μB/atom
E = -47.76 eV for the cell shown
Fermi-level density of states = 2.4 states/eV/cell

[3]
HfBiSeN2 after structural relaxation, computed with PBE.

Cell lengths 4.2168, 4.2168, 5.3753 Å; angles 90.00, 90.00, 90.00 degrees
Closest atoms and distances in Å follow each position.
Space group P4/mmm (No. 123)
Symmetry-distinct sites (fractional):
Hf  0.0000  0.0000  0.0000 [1 per cell]  4 N 2.11
Bi  0.5000  0.5000  0.5000 [1 per cell]  4 Se 2.98
Se  0.0000  0.0000  0.5000 [1 per cell]  2 Hf 2.69, 4 Bi 2.98
N  0.0000  0.5000  0.0000 [2 per cell]  2 Hf 2.11

Values from the calculation:
Size of the total moment = 0.08 μB/atom
E = -33.44 eV for the cell shown
Formation energy from raw total energies = 0.105 eV/atom
Fermi-level density of states = 2.6 states/eV/cell